A plane-wave DFT calculation with GGA-PBE was carried out for an optimized crystal structure of BaTc2As.

POSCAR file:
```
BaTc2As
1.0
-2.0979 -5.1974 -2.0473
2.1760 -1.2695 -5.4091
1.0091 0.8320 5.8219
Tc As Ba
2 1 1
direct
0.9346 0.9346 0.0000 Tc
0.7578 0.2578 0.5000 Tc
0.5472 0.5472 0.0000 As
0.2604 0.7604 0.5000 Ba
```

Summary:
total DFT energy (no corrections): -6.20 eV per atom
ρ: 7216 kg/m³
formation enthalpy at 0 K: 0.6244 eV per atom

A plane-wave DFT calculation with GGA-PBE was carried out for an optimized crystal structure of BaTc2As.

POSCAR file:
```
BaTc2As
1.0
-5.7196 0.7142 -0.1483
-2.2679 -0.7123 -5.2532
2.7453 -2.2456 4.5461
Ba As Tc
1 1 2
direct
0.2500 0.7500 0.5000 Ba
0.7500 0.2500 0.5000 As
0.9553 0.9553 0.0000 Tc
0.5447 0.5447 0.0000 Tc
```

Summary:
total DFT energy (no corrections): -6.13 eV per atom
ρ: 8266 kg/m³
formation enthalpy at 0 K: 0.6919 eV per atom

A plane-wave DFT calculation with GGA-PBE was carried out for an optimized crystal structure of BaTc2As.

POSCAR file:
```
BaTc2As
1.0
-0.6307 1.3866 -2.9035
2.1994 -1.9718 -1.4194
-5.5680 -5.2697 -1.3072
As Tc Ba
1 2 1
direct
0.0000 0.0000 0.4244 As
0.5000 0.5000 0.2432 Tc
0.0000 0.0000 0.0813 Tc
0.5000 0.5000 0.7510 Ba
```

Summary:
total DFT energy (no corrections): -6.62 eV per atom
ρ: 8112 kg/m³
formation enthalpy at 0 K: 0.2041 eV per atom

A plane-wave DFT calculation with GGA-PBE was carried out for an optimized crystal structure of BaTc2As.

POSCAR file:
```
BaTc2As
1.0
9.7061 0.0040 0.0024
9.1983 3.0982 0.0024
9.1983 1.5094 2.7056
Tc Ba As
2 1 1
direct
0.2483 0.2483 0.2483 Tc
0.9841 0.9841 0.9841 Tc
0.7479 0.7479 0.7479 Ba
0.5196 0.5196 0.5196 As
```

Summary:
total DFT energy (no corrections): -6.26 eV per atom
ρ: 8350 kg/m³
formation enthalpy at 0 K: 0.5662 eV per atom

A plane-wave DFT calculation with GGA-PBE was carried out for an optimized crystal structure of BaTcAs2.

POSCAR file:
```
BaTcAs2
1.0
5.4606 0.0000 0.0000
0.0000 5.4606 0.0000
2.7303 2.7303 7.7944
As Ba Tc
4 2 2
direct
0.3750 0.6242 0.7500 As
0.3742 0.6250 0.2500 As
0.8750 0.6258 0.7500 As
0.3758 0.1250 0.2500 As
0.7500 0.2500 0.5000 Ba
0.0000 0.0000 0.0000 Ba
0.5000 0.5000 0.0000 Tc
0.2500 0.7500 0.5000 Tc
```

Summary:
total DFT energy (no corrections): -5.71 eV per atom
ρ: 5504 kg/m³
formation enthalpy at 0 K: -0.3171 eV per atom
distance to the lowest polymorph of the same formula: 0.096 eV per atom

A plane-wave DFT calculation with GGA-PBE was carried out for an optimized crystal structure of BaTcAs2.

POSCAR file:
```
BaTcAs2
1.0
-3.4837 1.9780 -1.4356
-3.3817 -1.5194 -2.0892
-5.6650 -1.0341 4.6499
Ba Tc As
1 1 2
direct
0.5268 0.5268 0.4903 Ba
0.3152 0.3152 0.0233 Tc
0.9647 0.9647 0.1531 As
0.6933 0.6933 0.8334 As
```

Summary:
total DFT energy (no corrections): -5.77 eV per atom
ρ: 6805 kg/m³
formation enthalpy at 0 K: -0.3721 eV per atom
distance to the lowest polymorph of the same formula: 0.041 eV per atom